No. 1
SrBeV2In: optimized geometry, PBE.

- Crystal system: tetragonal
- ΔE_f: 1569 meV/atom
- DFT total energy: -18.54 eV per cell

Geometry as CIF:
```
data_SrBeV2In
_space_group_name_H-M_alt 'P 4/m m m'
_space_group_IT_number 123
_space_group_name_Hall '-P 4 2'
_cell_length_a 5.1798
_cell_length_b 5.1798
_cell_length_c 5.9939
_cell_angle_alpha 90.00
_cell_angle_beta 90.00
_cell_angle_gamma 90.00
loop_
_atom_site_label
_atom_site_fract_x
_atom_site_fract_y
_atom_site_fract_z
Sr1 0.0000 0.0000 0.0000
Be1 0.5000 0.5000 0.0000
V1 0.0000 0.5000 0.5000
In1 0.0000 0.0000 0.5000
```

No. 2
SrBeIn2W: optimized geometry, PBE.

- Crystal system: tetragonal
- ΔE_f: 1103 meV/atom
- DFT total energy: -18.32 eV per cell

Geometry as CIF:
```
data_SrBeIn2W
_space_group_name_H-M_alt 'P 4/m m m'
_space_group_IT_number 123
_space_group_name_Hall '-P 4 2'
_cell_length_a 4.7737
_cell_length_b 4.7737
_cell_length_c 5.4307
_cell_angle_alpha 90.00
_cell_angle_beta 90.00
_cell_angle_gamma 90.00
loop_
_atom_site_label
_atom_site_fract_x
_atom_site_fract_y
_atom_site_fract_z
Sr1 0.0000 0.0000 0.0000
Be1 0.0000 0.0000 0.5000
In1 0.0000 0.5000 0.5000
W1 0.5000 0.5000 0.0000
```

No. 3
TaBe4In: optimized geometry, PBE.

- Crystal system: cubic
- ΔE_f: 245 meV/atom
- DFT total energy: -112.10 eV per cell

Geometry as CIF:
```
data_TaBe4In
_space_group_name_H-M_alt 'F -4 3 m'
_space_group_IT_number 216
_space_group_name_Hall 'F -4 2 3'
_cell_length_a 6.6214
_cell_length_b 6.6214
_cell_length_c 6.6214
_cell_angle_alpha 90.00
_cell_angle_beta 90.00
_cell_angle_gamma 90.00
loop_
_atom_site_label
_atom_site_fract_x
_atom_site_fract_y
_atom_site_fract_z
Ta1 0.0000 0.0000 0.0000
Be1 0.1315 0.1315 0.6315
In1 0.2500 0.2500 0.2500
```

No. 4
Ta2BeIn: optimized geometry, PBE.

- Crystal system: monoclinic
- Energy above the lowest structure with this stoichiometry: 192 meV per atom
- ΔE_f: 287 meV/atom
- DFT total energy: -58.04 eV per cell

Geometry as CIF:
```
data_Ta2BeIn
_space_group_name_H-M_alt 'C 1 m 1'
_space_group_IT_number 8
_cell_length_a 10.1467
_cell_length_b 3.0287
_cell_length_c 4.8492
_cell_angle_alpha 90.00
_cell_angle_beta 114.85
_cell_angle_gamma 90.00
loop_
_space_group_symop_operation_xyz
'x,y,z'
'x,-y,z'
'x+1/2,y+1/2,z'
'x+1/2,-y+1/2,z'
loop_
_atom_site_label
_atom_site_fract_x
_atom_site_fract_y
_atom_site_fract_z
Ta1 0.0000 0.0000 0.0000
Ta2 0.2309 0.0000 0.7973
Be1 0.2168 0.5000 0.3246
In1 0.4496 0.0000 0.4563
```

No. 5
Ta2BeIn: optimized geometry, PBE.

- Crystal system: tetragonal
- Energy above the lowest structure with this stoichiometry: 0 meV per atom
- ΔE_f: 95 meV/atom
- DFT total energy: -29.79 eV per cell

Geometry as CIF:
```
data_Ta2BeIn
_space_group_name_H-M_alt 'P 4/m m m'
_space_group_IT_number 123
_space_group_name_Hall '-P 4 2'
_cell_length_a 2.8936
_cell_length_b 2.8936
_cell_length_c 7.9160
_cell_angle_alpha 90.00
_cell_angle_beta 90.00
_cell_angle_gamma 90.00
loop_
_atom_site_label
_atom_site_fract_x
_atom_site_fract_y
_atom_site_fract_z
Ta1 0.0000 0.0000 0.2046
Be1 0.5000 0.5000 0.0000
In1 0.5000 0.5000 0.5000
```

No. 6
Ta2BeIn: optimized geometry, PBE.

- Crystal system: tetragonal
- Energy above the lowest structure with this stoichiometry: 654 meV per atom
- ΔE_f: 749 meV/atom
- DFT total energy: -108.70 eV per cell

Geometry as CIF:
```
data_Ta2BeIn
_space_group_name_H-M_alt 'I -4 2 d'
_space_group_IT_number 122
_space_group_name_Hall 'I -4 2bw'
_cell_length_a 3.8684
_cell_length_b 3.8684
_cell_length_c 19.9776
_cell_angle_alpha 90.00
_cell_angle_beta 90.00
_cell_angle_gamma 90.00
loop_
_atom_site_label
_atom_site_fract_x
_atom_site_fract_y
_atom_site_fract_z
Ta1 0.2439 0.2500 0.1250
Be1 0.0000 0.0000 0.0000
In1 0.0000 0.0000 0.5000
```

No. 7
Ta2BeIn: optimized geometry, PBE.

- Crystal system: orthorhombic
- Energy above the lowest structure with this stoichiometry: 119 meV per atom
- ΔE_f: 214 meV/atom
- DFT total energy: -29.31 eV per cell

Geometry as CIF:
```
data_Ta2BeIn
_space_group_name_H-M_alt 'P m m m'
_space_group_IT_number 47
_cell_length_a 3.7426
_cell_length_b 4.1502
_cell_length_c 4.3740
_cell_angle_alpha 90.00
_cell_angle_beta 90.00
_cell_angle_gamma 90.00
loop_
_space_group_symop_operation_xyz
'x,y,z'
'-x,-y,-z'
'-x,-y,z'
'x,y,-z'
'x,-y,-z'
'-x,y,z'
'-x,y,-z'
'x,-y,z'
loop_
_atom_site_label
_atom_site_fract_x
_atom_site_fract_y
_atom_site_fract_z
Ta1 0.0000 0.0000 0.0000
Ta2 0.5000 0.5000 0.0000
Be1 0.0000 0.5000 0.5000
In1 0.5000 0.0000 0.5000
```

No. 8
Ta2BeIn: optimized geometry, PBE.

- Crystal system: monoclinic
- Energy above the lowest structure with this stoichiometry: 149 meV per atom
- ΔE_f: 244 meV/atom
- DFT total energy: -29.20 eV per cell

Geometry as CIF:
```
data_Ta2BeIn
_space_group_name_H-M_alt 'P 1 2/m 1'
_space_group_IT_number 10
_cell_length_a 2.8859
_cell_length_b 4.1876
_cell_length_c 5.6627
_cell_angle_alpha 90.00
_cell_angle_beta 96.21
_cell_angle_gamma 90.00
loop_
_space_group_symop_operation_xyz
'x,y,z'
'-x,-y,-z'
'-x,y,-z'
'x,-y,z'
loop_
_atom_site_label
_atom_site_fract_x
_atom_site_fract_y
_atom_site_fract_z
Ta1 0.0552 0.0000 0.2705
Be1 0.5000 0.5000 0.5000
In1 0.5000 0.5000 0.0000
```

No. 9
Ta2BeIn: optimized geometry, PBE.

- Crystal system: orthorhombic
- Energy above the lowest structure with this stoichiometry: 139 meV per atom
- ΔE_f: 234 meV/atom
- DFT total energy: -58.47 eV per cell

Geometry as CIF:
```
data_Ta2BeIn
_space_group_name_H-M_alt 'C m m 2'
_space_group_IT_number 35
_cell_length_a 3.7506
_cell_length_b 4.5726
_cell_length_c 7.8626
_cell_angle_alpha 90.00
_cell_angle_beta 90.00
_cell_angle_gamma 90.00
loop_
_space_group_symop_operation_xyz
'x,y,z'
'-x,-y,z'
'-x,y,z'
'x,-y,z'
'x+1/2,y+1/2,z'
'-x+1/2,-y+1/2,z'
'-x+1/2,y+1/2,z'
'x+1/2,-y+1/2,z'
loop_
_atom_site_label
_atom_site_fract_x
_atom_site_fract_y
_atom_site_fract_z
Ta1 0.0000 0.0000 0.0000
Ta2 0.0000 0.5000 0.2846
Be1 0.0000 0.0000 0.4877
In1 0.0000 0.5000 0.7100
```

No. 10
Ta2BeIn: optimized geometry, PBE.

- Crystal system: trigonal
- Energy above the lowest structure with this stoichiometry: 216 meV per atom
- ΔE_f: 311 meV/atom
- DFT total energy: -86.78 eV per cell

Geometry as CIF:
```
data_Ta2BeIn
_space_group_name_H-M_alt 'R -3 m'
_space_group_IT_number 166
_space_group_name_Hall '-R 3 2"'
_cell_length_a 3.2990
_cell_length_b 3.2990
_cell_length_c 22.2805
_cell_angle_alpha 90.00
_cell_angle_beta 90.00
_cell_angle_gamma 120.00
loop_
_atom_site_label
_atom_site_fract_x
_atom_site_fract_y
_atom_site_fract_z
Ta1 0.0000 0.0000 0.2258
Be1 0.0000 0.0000 0.5000
In1 0.0000 0.0000 0.0000
```

No. 11
Ta2BeIn: optimized geometry, PBE.

- Crystal system: monoclinic
- Energy above the lowest structure with this stoichiometry: 203 meV per atom
- ΔE_f: 298 meV/atom
- DFT total energy: -57.96 eV per cell

Geometry as CIF:
```
data_Ta2BeIn
_space_group_name_H-M_alt 'C 1 2/m 1'
_space_group_IT_number 12
_cell_length_a 5.5779
_cell_length_b 8.6361
_cell_length_c 2.8574
_cell_angle_alpha 90.00
_cell_angle_beta 94.06
_cell_angle_gamma 90.00
loop_
_space_group_symop_operation_xyz
'x,y,z'
'-x,-y,-z'
'-x,y,-z'
'x,-y,z'
'x+1/2,y+1/2,z'
'-x+1/2,-y+1/2,-z'
'-x+1/2,y+1/2,-z'
'x+1/2,-y+1/2,z'
loop_
_atom_site_label
_atom_site_fract_x
_atom_site_fract_y
_atom_site_fract_z
Ta1 0.2500 0.2500 0.0000
Be1 0.0000 0.0000 0.5000
In1 0.0000 0.5000 0.5000
```

No. 12
Ta2BeIn: optimized geometry, PBE.

- Crystal system: tetragonal
- Energy above the lowest structure with this stoichiometry: 176 meV per atom
- ΔE_f: 270 meV/atom
- DFT total energy: -29.09 eV per cell

Geometry as CIF:
```
data_Ta2BeIn
_space_group_name_H-M_alt 'P 4 m m'
_space_group_IT_number 99
_cell_length_a 3.4407
_cell_length_b 3.4407
_cell_length_c 6.0307
_cell_angle_alpha 90.00
_cell_angle_beta 90.00
_cell_angle_gamma 90.00
loop_
_space_group_symop_operation_xyz
'x,y,z'
'-y,x,z'
'-x,-y,z'
'y,-x,z'
'-x,y,z'
'y,x,z'
'x,-y,z'
'-y,-x,z'
loop_
_atom_site_label
_atom_site_fract_x
_atom_site_fract_y
_atom_site_fract_z
Ta1 0.0000 0.0000 0.0000
Ta2 0.5000 0.5000 0.2081
Be1 0.0000 0.0000 0.4211
In1 0.5000 0.5000 0.6906
```

> Look up the DFT total energy of the sixth one.

-108.70 eV per cell

Please write out number 11 again, unchanged.
Ta2BeIn: optimized geometry, PBE.

- Crystal system: monoclinic
- Energy above the lowest structure with this stoichiometry: 203 meV per atom
- ΔE_f: 298 meV/atom
- DFT total energy: -57.96 eV per cell

Geometry as CIF:
```
data_Ta2BeIn
_space_group_name_H-M_alt 'C 1 2/m 1'
_space_group_IT_number 12
_cell_length_a 5.5779
_cell_length_b 8.6361
_cell_length_c 2.8574
_cell_angle_alpha 90.00
_cell_angle_beta 94.06
_cell_angle_gamma 90.00
loop_
_space_group_symop_operation_xyz
'x,y,z'
'-x,-y,-z'
'-x,y,-z'
'x,-y,z'
'x+1/2,y+1/2,z'
'-x+1/2,-y+1/2,-z'
'-x+1/2,y+1/2,-z'
'x+1/2,-y+1/2,z'
loop_
_atom_site_label
_atom_site_fract_x
_atom_site_fract_y
_atom_site_fract_z
Ta1 0.2500 0.2500 0.0000
Be1 0.0000 0.0000 0.5000
In1 0.0000 0.5000 0.5000
```

> What is the DFT total energy in the second record?

-18.32 eV per cell

> What is the formula in the eleventh record?

Ta2BeIn